VASP calculation (PBE) on a relaxed structure of Ac4HgRh2.

Geometry as CIF:
```
data_Ac4HgRh2
_chemical_formula_sum 'Ac8 Hg2 Rh4'
_cell_length_a 4.336
_cell_length_b 7.621
_cell_length_c 14.839
_cell_angle_alpha 90.00
_cell_angle_beta 90.00
_cell_angle_gamma 106.53
_symmetry_space_group_name_H-M 'P 1'
_symmetry_Int_Tables_number 1
loop_
_symmetry_equiv_pos_as_xyz
'x,y,z'
loop_
_atom_site_label
_atom_site_type_symbol
_atom_site_fract_x
_atom_site_fract_y
_atom_site_fract_z
Hg1 Hg 0.612 0.223 0.750
Hg2 Hg 0.388 0.777 0.250
Ac1 Ac 0.936 0.872 0.750
Ac2 Ac 0.500 0.000 0.500
Ac3 Ac 0.064 0.128 0.250
Ac4 Ac 0.232 0.465 0.612
Ac5 Ac 0.500 0.000 0.000
Ac6 Ac 0.232 0.465 0.888
Ac7 Ac 0.768 0.535 0.388
Ac8 Ac 0.768 0.535 0.112
Rh1 Rh 0.132 0.264 0.063
Rh2 Rh 0.132 0.264 0.437
Rh3 Rh 0.868 0.736 0.563
Rh4 Rh 0.868 0.736 0.937
```

Output
The calculation puts the total magnetization at 0.0 μB/f.u. For the formation energy, the calculation gives -13.7 kcal/mol of atoms. The value obtained for the total DFT energy (no corrections) is -35.58 eV/f.u. The calculation puts the relative energy among the computed polymorphs at 0.000 eV per atom.